--- 1 ---
FeIBrO2 GGA+U optimized geometry; SG = P4/mmm, No. 123
1.0
-2.131 2.297 -2.462
0.455 -2.690 -2.905
-5.454 -2.999 1.922
I O Fe Br
1 2 1 1
direct
0.000 0.000 0.500
0.000 0.500 0.000
0.500 0.000 0.000
0.000 0.000 0.000
0.500 0.500 0.500


--- 2 ---
FeIBrO2 GGA+U optimized geometry; SG = P4/mmm, No. 123
1.0
-3.594 0.792 -1.540
-1.496 -3.207 1.842
-1.494 3.831 5.457
I O Fe Br
1 2 1 1
direct
0.000 0.000 0.500
0.000 0.500 0.000
0.500 0.000 0.000
0.500 0.500 0.500
0.000 0.000 0.000


The structure with the most favorable energy is 1; the runner-up is 689 meV/atom above it.